Record 1
HfBSe3 PBE-GGA optimized geometry; distance to the lowest polymorph of the same formula = 209 meV per atom; space group = Pm-3m (221)
1.0
5.165 0.000 0.000
0.000 5.165 0.000
0.000 0.000 5.165
Hf B Se
1 1 3
Direct
0.000 0.000 0.000
0.500 0.500 0.500
0.000 0.000 0.500
0.000 0.500 0.000
0.500 0.000 0.000


Record 2
Hf2BSe PBE-GGA optimized geometry; distance to the lowest polymorph of the same formula = 709 meV per atom; space group = I-42d (122)
1.0
-2.819 2.819 5.516
2.819 -2.819 5.516
2.819 2.819 -5.516
Hf B Se
4 2 2
Direct
0.060 0.625 0.935
0.375 0.310 0.435
0.690 0.125 0.065
0.875 0.940 0.565
0.000 0.000 0.000
0.750 0.250 0.500
0.250 0.750 0.500
0.500 0.500 0.000


Record 3
Hf3BSe PBE-GGA optimized geometry; distance to the lowest polymorph of the same formula = 493 meV per atom; space group = Pm-3m (221)
1.0
4.582 0.000 0.000
0.000 4.582 0.000
0.000 0.000 4.582
Hf B Se
3 1 1
Direct
0.000 0.000 0.500
0.000 0.500 0.000
0.500 0.000 0.000
0.000 0.000 0.000
0.500 0.500 0.500


Record 4
Hf2TlBSe PBE-GGA optimized geometry; space group = P4/mmm (123)
1.0
5.367 0.000 0.000
0.000 5.367 0.000
0.000 0.000 5.197
Hf Tl B Se
2 1 1 1
Direct
0.000 0.500 0.000
0.500 0.000 0.000
0.000 0.000 0.000
0.500 0.500 0.500
0.000 0.000 0.500


Record 5
YHf2BSe PBE-GGA optimized geometry; distance to the lowest polymorph of the same formula = 0 meV per atom; space group = P4/mmm (123)
1.0
4.524 0.000 0.000
0.000 4.524 0.000
0.000 0.000 5.145
Y Hf B Se
1 2 1 1
Direct
0.000 0.000 0.000
0.000 0.500 0.500
0.500 0.000 0.500
0.000 0.000 0.500
0.500 0.500 0.000


Record 6
YHf2BSe PBE-GGA optimized geometry; distance to the lowest polymorph of the same formula = 2247 meV per atom; space group = P4/mmm (123)
1.0
5.333 0.000 0.000
0.000 5.333 0.000
0.000 0.000 5.110
Y Hf B Se
1 2 1 1
Direct
0.000 0.000 0.000
0.000 0.500 0.000
0.500 0.000 0.000
0.500 0.500 0.500
0.000 0.000 0.500


no.,ΔE_f (raw) (eV per atom),density (g cm⁻³)
1,0.461,5.14
2,-0.291,8.46
3,-0.113,10.80
4,2.189,7.22
5,-0.217,8.45
6,2.031,6.12